# 1
# FeNiBr2 (GGA-PBEsol, relaxed)
# E above lowest polymorph = 0 meV per atom
# electronic total energy = -4.592 eV per atom
# formation energy (no corrections) = 123 meV per atom
# V = 73.8 Å³ per cell
data_FeNiBr2
_chemical_formula_sum 'Fe1 Ni1 Br2'
_cell_length_a 3.3082
_cell_length_b 3.3082
_cell_length_c 6.7399
_cell_angle_alpha 90.00
_cell_angle_beta 90.00
_cell_angle_gamma 90.00
_space_group_name_H-M_alt 'P 4 m m'
_space_group_IT_number 99
_space_group_name_Hall 'P 4 -2'
loop_
_atom_site_label
_atom_site_type_symbol
_atom_site_fract_x
_atom_site_fract_y
_atom_site_fract_z
Fe1 Fe 0.0000 0.0000 0.0000
Ni1 Ni 0.5000 0.5000 0.1553
Br1 Br 0.0000 0.0000 0.3515
Br2 Br 0.5000 0.5000 0.7957



# 2
# FeNiBr2 (GGA-PBEsol, relaxed)
# E above lowest polymorph = 66 meV per atom
# electronic total energy = -4.527 eV per atom
# formation energy (no corrections) = 188 meV per atom
# V = 158.6 Å³ per cell
data_FeNiBr2
_chemical_formula_sum 'Fe2 Ni2 Br4'
_cell_length_a 3.3848
_cell_length_b 3.5074
_cell_length_c 13.3621
_cell_angle_alpha 90.00
_cell_angle_beta 90.00
_cell_angle_gamma 90.00
_space_group_name_H-M_alt 'I m m 2'
_space_group_IT_number 44
_space_group_name_Hall 'I 2 -2'
loop_
_atom_site_label
_atom_site_type_symbol
_atom_site_fract_x
_atom_site_fract_y
_atom_site_fract_z
Fe1 Fe 0.0000 0.0000 0.0000
Ni1 Ni 0.0000 0.5000 0.6212
Br1 Br 0.0000 0.0000 0.4127
Br2 Br 0.0000 0.5000 0.1591



# 3
# Fe3BrO (GGA-PBEsol, relaxed)
# electronic total energy = -5.306 eV per atom
# formation energy (no corrections) = 1496 meV per atom
# V = 83.1 Å³ per cell
data_Fe3BrO
_chemical_formula_sum 'Fe3 Br1 O1'
_cell_length_a 4.3638
_cell_length_b 4.3638
_cell_length_c 4.3638
_cell_angle_alpha 90.00
_cell_angle_beta 90.00
_cell_angle_gamma 90.00
_space_group_name_H-M_alt 'P m -3 m'
_space_group_IT_number 221
_space_group_name_Hall '-P 4 2 3'
loop_
_atom_site_label
_atom_site_type_symbol
_atom_site_fract_x
_atom_site_fract_y
_atom_site_fract_z
Fe1 Fe 0.0000 0.0000 0.5000
Br1 Br 0.0000 0.0000 0.0000
O1 O 0.5000 0.5000 0.5000



# 4
# Fe3Sb2Br4O4 (GGA-PBEsol, relaxed)
# electronic total energy = -5.766 eV per atom
# formation energy (no corrections) = -805 meV per atom
# V = 1096.0 Å³ per cell
data_Fe3Sb2Br4O4
_chemical_formula_sum 'Fe12 Sb8 Br16 O16'
_cell_length_a 6.1407
_cell_length_b 12.2657
_cell_length_c 14.5518
_cell_angle_alpha 90.00
_cell_angle_beta 90.00
_cell_angle_gamma 90.00
_space_group_name_H-M_alt 'C m c e'
_space_group_IT_number 64
_space_group_name_Hall '-C 2ac 2'
loop_
_atom_site_label
_atom_site_type_symbol
_atom_site_fract_x
_atom_site_fract_y
_atom_site_fract_z
Fe1 Fe 0.0000 0.0000 0.0000
Fe2 Fe 0.2500 0.0059 0.2500
Sb1 Sb 0.0000 0.1180 0.4446
Br1 Br 0.0000 0.1231 0.8390
Br2 Br 0.0000 0.1663 0.1163
O1 O 0.0000 0.0458 0.3233
O2 O 0.1972 0.0000 0.5000



# 5
# Sr3Fe2Br2O5 (GGA-PBEsol, relaxed)
# electronic total energy = -6.524 eV per atom
# formation energy (no corrections) = -2071 meV per atom
# V = 388.6 Å³ per cell
data_Sr3Fe2Br2O5
_chemical_formula_sum 'Sr6 Fe4 Br4 O10'
_cell_length_a 3.8829
_cell_length_b 3.8829
_cell_length_c 25.7749
_cell_angle_alpha 90.00
_cell_angle_beta 90.00
_cell_angle_gamma 90.00
_space_group_name_H-M_alt 'I 4/m m m'
_space_group_IT_number 139
_space_group_name_Hall '-I 4 2'
loop_
_atom_site_label
_atom_site_type_symbol
_atom_site_fract_x
_atom_site_fract_y
_atom_site_fract_z
Sr1 Sr 0.0000 0.0000 0.0000
Sr2 Sr 0.0000 0.0000 0.1418
Fe1 Fe 0.0000 0.0000 0.4273
Br1 Br 0.0000 0.0000 0.3028
O1 O 0.0000 0.0000 0.5000
O2 O 0.0000 0.5000 0.0798



# 6
# FeOs3Br (GGA-PBEsol, relaxed)
# E above lowest polymorph = 0 meV per atom
# electronic total energy = -7.237 eV per atom
# formation energy (no corrections) = 2259 meV per atom
# V = 86.6 Å³ per cell
data_FeOs3Br
_chemical_formula_sum 'Fe1 Os3 Br1'
_cell_length_a 4.4241
_cell_length_b 4.4241
_cell_length_c 4.4241
_cell_angle_alpha 90.00
_cell_angle_beta 90.00
_cell_angle_gamma 90.00
_space_group_name_H-M_alt 'P m -3 m'
_space_group_IT_number 221
_space_group_name_Hall '-P 4 2 3'
loop_
_atom_site_label
_atom_site_type_symbol
_atom_site_fract_x
_atom_site_fract_y
_atom_site_fract_z
Fe1 Fe 0.0000 0.0000 0.0000
Os1 Os 0.0000 0.0000 0.5000
Br1 Br 0.5000 0.5000 0.5000



# 7
# Fe2OsBr (GGA-PBEsol, relaxed)
# E above lowest polymorph = 0 meV per atom
# electronic total energy = -7.114 eV per atom
# formation energy (no corrections) = 889 meV per atom
# V = 112.2 Å³ per cell
data_Fe2OsBr
_chemical_formula_sum 'Fe4 Os2 Br2'
_cell_length_a 5.2635
_cell_length_b 7.6279
_cell_length_c 2.7940
_cell_angle_alpha 90.00
_cell_angle_beta 90.00
_cell_angle_gamma 90.00
_space_group_name_H-M_alt 'C m m m'
_space_group_IT_number 65
_space_group_name_Hall '-C 2 2'
loop_
_atom_site_label
_atom_site_type_symbol
_atom_site_fract_x
_atom_site_fract_y
_atom_site_fract_z
Fe1 Fe 0.2500 0.2500 0.0000
Os1 Os 0.0000 0.0000 0.5000
Br1 Br 0.0000 0.5000 0.5000



# 8
# FeOs3Br (GGA-PBEsol, relaxed)
# E above lowest polymorph = 373 meV per atom
# electronic total energy = -6.864 eV per atom
# formation energy (no corrections) = 2632 meV per atom
# V = 89.4 Å³ per cell
data_FeOs3Br
_chemical_formula_sum 'Fe1 Os3 Br1'
_cell_length_a 4.4717
_cell_length_b 4.4717
_cell_length_c 4.4717
_cell_angle_alpha 90.00
_cell_angle_beta 90.00
_cell_angle_gamma 90.00
_space_group_name_H-M_alt 'P m -3 m'
_space_group_IT_number 221
_space_group_name_Hall '-P 4 2 3'
loop_
_atom_site_label
_atom_site_type_symbol
_atom_site_fract_x
_atom_site_fract_y
_atom_site_fract_z
Fe1 Fe 0.0000 0.0000 0.0000
Os1 Os 0.0000 0.5000 0.5000
Br1 Br 0.5000 0.5000 0.5000